Below is a relaxed structure of Zr2CoSn, with properties calculated at the PBE level.

abc: 3.095 3.095 8.077
angles: 90.00 90.00 90.00
Atoms (fractional coordinates):
Zr 0.000 0.000 0.207
Zr 0.000 0.000 0.793
Co 0.500 0.500 0.000
Sn 0.500 0.500 0.500

## Properties
For the calculated total energy, the calculation gives -7.365 eV/atom. The value obtained for the density of states at the Fermi level is 0.8086 states/eV/atom. Its space group is P4/mmm (123).